<1>
Density functional theory data (PBE) for a geometry-optimized In3CoS structure.

Lattice parameters (Å, degrees): 5.2707 5.2707 5.2707 90.00 90.00 90.00
Fractional positions:
In: 0.0000 0.0000 0.5000
In: 0.0000 0.5000 0.0000
In: 0.5000 0.0000 0.0000
Co: 0.5000 0.5000 0.5000
S: 0.0000 0.0000 0.0000

=====

<2>
Density functional theory data (PBE) for a geometry-optimized In3CoS structure.

Lattice parameters (Å, degrees): 4.9300 4.9300 4.9300 90.00 90.00 90.00
Fractional positions:
In: 0.0000 0.0000 0.5000
In: 0.0000 0.5000 0.0000
In: 0.5000 0.0000 0.0000
Co: 0.0000 0.0000 0.0000
S: 0.5000 0.5000 0.5000

=====

<2> ends up most stable, edging out the next structure by 0.755 eV/atom.